Material: Cr3SbF
Method: DFT, PBE+U
State: optimized geometry

The value obtained for the magnetization is 14.00 μB per formula unit. Its crystal system is cubic. The energy relative to the lowest polymorph listed for this composition comes out at 0.0 meV per atom.

a b c (Å): 4.5776 4.5776 4.5776
angles (deg): 90.00 90.00 90.00
Space group Pm-3m (No. 221)
Symmetry-distinct sites (fractional):
1 Cr 0.0000 0.0000 0.5000 x3
2 Sb 0.5000 0.5000 0.5000 x1
3 F 0.0000 0.0000 0.0000 x1